No. 1
# Cs4NaCl2 GGA-PBE relaxed
# space-group type: I4/mmm, No. 139
# VASP energy: -28.53 eV per cell
# crystal system: tetragonal
# ΔE_f (raw): -834 meV per atom
data_Cs4NaCl2
_chemical_formula_sum 'Cs8 Na2 Cl4'
_cell_length_a 7.282
_cell_length_b 7.282
_cell_length_c 19.170
_cell_angle_alpha 90.00
_cell_angle_beta 90.00
_cell_angle_gamma 90.00
_space_group_name_H-M_alt 'P 1'
_space_group_IT_number 1
loop_
_space_group_symop_operation_xyz
'x,y,z'
loop_
_atom_site_label
_atom_site_fract_x
_atom_site_fract_y
_atom_site_fract_z
Cs1 0.000 0.000 0.238
Cs2 0.000 0.000 0.762
Cs3 0.000 0.500 0.000
Cs4 0.000 0.500 0.500
Cs5 0.500 0.000 0.000
Cs6 0.500 0.000 0.500
Cs7 0.500 0.500 0.262
Cs8 0.500 0.500 0.738
Na1 0.000 0.000 0.000
Na2 0.500 0.500 0.500
Cl1 0.000 0.000 0.403
Cl2 0.000 0.000 0.597
Cl3 0.500 0.500 0.097
Cl4 0.500 0.500 0.903


No. 2
# K2GaC GGA-PBE relaxed
# energy above the lowest structure with this stoichiometry: 0.793 eV/atom
# space-group type: Fm-3m, No. 225
# VASP energy: -35.87 eV per cell
# crystal system: cubic
data_K2GaC
_chemical_formula_sum 'K8 Ga4 C4'
_cell_length_a 7.634
_cell_length_b 7.634
_cell_length_c 7.634
_cell_angle_alpha 90.00
_cell_angle_beta 90.00
_cell_angle_gamma 90.00
_space_group_name_H-M_alt 'P 1'
_space_group_IT_number 1
loop_
_space_group_symop_operation_xyz
'x,y,z'
loop_
_atom_site_label
_atom_site_fract_x
_atom_site_fract_y
_atom_site_fract_z
K1 0.250 0.250 0.250
K2 0.250 0.250 0.750
K3 0.250 0.750 0.250
K4 0.250 0.750 0.750
K5 0.750 0.250 0.250
K6 0.750 0.250 0.750
K7 0.750 0.750 0.250
K8 0.750 0.750 0.750
Ga1 0.000 0.000 0.000
Ga2 0.000 0.500 0.500
Ga3 0.500 0.000 0.500
Ga4 0.500 0.500 0.000
C1 0.000 0.000 0.500
C2 0.000 0.500 0.000
C3 0.500 0.000 0.000
C4 0.500 0.500 0.500


No. 3
# Ba3S2O GGA-PBE relaxed
# energy above the lowest structure with this stoichiometry: 0.000 eV/atom
# space-group type: C2/c, No. 15
# VASP energy: -126.65 eV per cell
# crystal system: monoclinic
# ΔE_f (raw): -2114 meV per atom
data_Ba3S2O
_chemical_formula_sum 'Ba12 S8 O4'
_cell_length_a 7.882
_cell_length_b 7.882
_cell_length_c 15.027
_cell_angle_alpha 91.98
_cell_angle_beta 91.98
_cell_angle_gamma 123.54
_space_group_name_H-M_alt 'P 1'
_space_group_IT_number 1
loop_
_space_group_symop_operation_xyz
'x,y,z'
loop_
_atom_site_label
_atom_site_fract_x
_atom_site_fract_y
_atom_site_fract_z
Ba1 0.025 0.975 0.750
Ba2 0.095 0.296 0.528
Ba3 0.175 0.524 0.128
Ba4 0.296 0.095 0.028
Ba5 0.392 0.608 0.750
Ba6 0.476 0.825 0.372
Ba7 0.524 0.175 0.628
Ba8 0.608 0.392 0.250
Ba9 0.704 0.905 0.972
Ba10 0.825 0.476 0.872
Ba11 0.905 0.704 0.472
Ba12 0.975 0.025 0.250
S1 0.025 0.444 0.340
S2 0.116 0.320 0.925
S3 0.320 0.116 0.425
S4 0.444 0.025 0.840
S5 0.556 0.975 0.160
S6 0.680 0.884 0.575
S7 0.884 0.680 0.075
S8 0.975 0.556 0.660
O1 0.277 0.280 0.160
O2 0.280 0.277 0.660
O3 0.720 0.723 0.340
O4 0.723 0.720 0.840


No. 4
# Pr3AuC GGA-PBE relaxed
# energy above the lowest structure with this stoichiometry: 0.163 eV/atom
# space-group type: Pm-3m, No. 221
# VASP energy: -27.71 eV per cell
# crystal system: cubic
data_Pr3AuC
_chemical_formula_sum 'Pr3 Au1 C1'
_cell_length_a 5.100
_cell_length_b 5.100
_cell_length_c 5.100
_cell_angle_alpha 90.00
_cell_angle_beta 90.00
_cell_angle_gamma 90.00
_space_group_name_H-M_alt 'P 1'
_space_group_IT_number 1
loop_
_space_group_symop_operation_xyz
'x,y,z'
loop_
_atom_site_label
_atom_site_fract_x
_atom_site_fract_y
_atom_site_fract_z
Pr1 0.000 0.000 0.500
Pr2 0.000 0.500 0.000
Pr3 0.500 0.000 0.000
Au1 0.500 0.500 0.500
C1 0.000 0.000 0.000


No. 5
# TiGe2O6 GGA-PBE relaxed
# energy above the lowest structure with this stoichiometry: 0.148 eV/atom
# space-group type: C2/m, No. 12
# VASP energy: -64.19 eV per cell
# crystal system: monoclinic
# ΔE_f (raw): -1924 meV per atom
data_TiGe2O6
_chemical_formula_sum 'Ti1 Ge2 O6'
_cell_length_a 5.110
_cell_length_b 5.110
_cell_length_c 6.391
_cell_angle_alpha 116.54
_cell_angle_beta 116.54
_cell_angle_gamma 40.43
_space_group_name_H-M_alt 'P 1'
_space_group_IT_number 1
loop_
_space_group_symop_operation_xyz
'x,y,z'
loop_
_atom_site_label
_atom_site_fract_x
_atom_site_fract_y
_atom_site_fract_z
Ti1 0.000 0.000 0.000
Ge1 0.175 0.175 0.618
Ge2 0.825 0.825 0.382
O1 0.016 0.016 0.705
O2 0.289 0.289 0.411
O3 0.360 0.360 0.904
O4 0.640 0.640 0.096
O5 0.711 0.711 0.589
O6 0.984 0.984 0.295


No. 6
# Na2AlTl GGA-PBE relaxed
# energy above the lowest structure with this stoichiometry: 0.146 eV/atom
# space-group type: I-42d, No. 122
# VASP energy: -31.34 eV per cell
# crystal system: tetragonal
data_Na2AlTl
_chemical_formula_sum 'Na8 Al4 Tl4'
_cell_length_a 8.662
_cell_length_b 8.662
_cell_length_c 6.056
_cell_angle_alpha 90.00
_cell_angle_beta 90.00
_cell_angle_gamma 90.00
_space_group_name_H-M_alt 'P 1'
_space_group_IT_number 1
loop_
_space_group_symop_operation_xyz
'x,y,z'
loop_
_atom_site_label
_atom_site_fract_x
_atom_site_fract_y
_atom_site_fract_z
Na1 0.243 0.250 0.125
Na2 0.250 0.743 0.375
Na3 0.250 0.757 0.875
Na4 0.257 0.250 0.625
Na5 0.743 0.750 0.625
Na6 0.750 0.243 0.875
Na7 0.750 0.257 0.375
Na8 0.757 0.750 0.125
Al1 0.000 0.000 0.000
Al2 0.000 0.500 0.250
Al3 0.500 0.000 0.750
Al4 0.500 0.500 0.500
Tl1 0.000 0.000 0.500
Tl2 0.000 0.500 0.750
Tl3 0.500 0.000 0.250
Tl4 0.500 0.500 0.000


No. 7
# Sm4TmSc3 GGA-PBE relaxed
# energy above the lowest structure with this stoichiometry: 0.005 eV/atom
# space-group type: Immm, No. 71
# VASP energy: -83.81 eV per cell
# crystal system: orthorhombic
data_Sm4TmSc3
_chemical_formula_sum 'Sm8 Tm2 Sc6'
_cell_length_a 4.857
_cell_length_b 4.950
_cell_length_c 19.716
_cell_angle_alpha 90.00
_cell_angle_beta 90.00
_cell_angle_gamma 90.00
_space_group_name_H-M_alt 'P 1'
_space_group_IT_number 1
loop_
_space_group_symop_operation_xyz
'x,y,z'
loop_
_atom_site_label
_atom_site_fract_x
_atom_site_fract_y
_atom_site_fract_z
Sm1 0.000 0.000 0.120
Sm2 0.000 0.000 0.880
Sm3 0.000 0.500 0.249
Sm4 0.000 0.500 0.751
Sm5 0.500 0.000 0.251
Sm6 0.500 0.000 0.749
Sm7 0.500 0.500 0.380
Sm8 0.500 0.500 0.620
Tm1 0.000 0.500 0.000
Tm2 0.500 0.000 0.500
Sc1 0.000 0.000 0.378
Sc2 0.000 0.000 0.622
Sc3 0.000 0.500 0.500
Sc4 0.500 0.000 0.000
Sc5 0.500 0.500 0.122
Sc6 0.500 0.500 0.878


No. 8
# AcVGe2 GGA-PBE relaxed
# energy above the lowest structure with this stoichiometry: 0.138 eV/atom
# space-group type: P4/mmm, No. 123
# VASP energy: -23.18 eV per cell
# crystal system: tetragonal
data_AcVGe2
_chemical_formula_sum 'Ac1 V1 Ge2'
_cell_length_a 3.510
_cell_length_b 3.510
_cell_length_c 6.862
_cell_angle_alpha 90.00
_cell_angle_beta 90.00
_cell_angle_gamma 90.00
_space_group_name_H-M_alt 'P 1'
_space_group_IT_number 1
loop_
_space_group_symop_operation_xyz
'x,y,z'
loop_
_atom_site_label
_atom_site_fract_x
_atom_site_fract_y
_atom_site_fract_z
Ac1 0.000 0.000 0.000
V1 0.000 0.000 0.500
Ge1 0.500 0.500 0.315
Ge2 0.500 0.500 0.685


Number 1: M_tot 0.00 μB/atom, density 2.04 g/cm3. Number 2: M_tot 0.25 μB/atom, density 2.39 g/cm3. Number 3: M_tot 0.00 μB/atom, density 4.21 g/cm3. Number 4: M_tot 0.00 μB/atom, density 7.91 g/cm3. Number 5: M_tot 0.00 μB/atom, density 5.04 g/cm3. Number 6: M_tot 0.00 μB/atom, density 4.05 g/cm3. Number 7: M_tot 0.00 μB/atom, density 6.34 g/cm3. Number 8: M_tot 0.41 μB/atom, density 8.32 g/cm3.